Material: Cs2SrMo3F12
Method: DFT, PBE with a Hubbard U
State: optimized geometry

Crystal system: trigonal
E_tot: -5.34 eV/atom
Space group: No. 166
Density: 4.20 g/cm³

Lattice parameters (Å, degrees): 7.8944 7.8944 7.8944 59.49 59.49 59.49
Positions (direct):
Cs: 0.1176 0.1176 0.1176
Cs: 0.8824 0.8824 0.8824
Sr: 0.5000 0.5000 0.5000
Mo: 0.0000 0.5000 0.5000
Mo: 0.5000 0.0000 0.5000
Mo: 0.5000 0.5000 0.0000
F: 0.1170 0.6043 0.6043
F: 0.2000 0.2000 0.6350
F: 0.2000 0.6350 0.2000
F: 0.3650 0.8000 0.8000
F: 0.3957 0.3957 0.8830
F: 0.3957 0.8830 0.3957
F: 0.6043 0.1170 0.6043
F: 0.6043 0.6043 0.1170
F: 0.6350 0.2000 0.2000
F: 0.8000 0.3650 0.8000
F: 0.8000 0.8000 0.3650
F: 0.8830 0.3957 0.3957